Record 1
The following is a DFT calculation (PBE) of an optimized crystal structure of Y2Tm5Sc2.

Unit cell a=5.5133 b=6.3031 c=8.8745 alpha=85.14 beta=71.96 gamma=65.42
Space group P-1 (No. 2)
One atom of each set of equivalent atoms:
Y  0.2233  0.2878  0.3549
Tm  0.0831  0.1436  0.7533
Tm  0.2526  0.5799  0.8744
Tm  0.5000  0.0000  0.0000
Sc  0.3459  0.7512  0.4517

Properties
**Total magnetic moment**: 0.00 μB/f.u.
**E above lowest polymorph**: 0 meV/atom



Record 2
The following is a DFT calculation (PBE) of an optimized crystal structure of YTm15Sc4.

Unit cell a=4.8731 b=4.8731 c=24.3754 alpha=90.00 beta=90.00 gamma=90.00
Space group P4/mmm (No. 123)
One atom of each set of equivalent atoms:
Y  0.0000  0.0000  0.0000
Tm  0.0000  0.5000  0.1035
Tm  0.0000  0.5000  0.3017
Tm  0.0000  0.5000  0.5000
Tm  0.5000  0.5000  0.0000
Tm  0.5000  0.5000  0.2029
Tm  0.5000  0.5000  0.4009
Sc  0.0000  0.0000  0.2023
Sc  0.0000  0.0000  0.4009

Properties
**Total magnetic moment**: 0.00 μB/f.u.
**Final energy**: -4.8998 eV per atom



Record 3
The following is a DFT calculation (PBE) of an optimized crystal structure of YTm2Sc.

Unit cell a=5.9811 b=6.9022 c=6.9034 alpha=60.04 beta=89.90 gamma=73.20
Space group P-1 (No. 2)
One atom of each set of equivalent atoms:
Y  0.2427  0.2540  0.3731
Tm  0.2511  0.7509  0.3721
Tm  0.2508  0.7508  0.8771
Sc  0.2565  0.2462  0.8771

Properties
**Total magnetic moment**: 0.00 μB/f.u.
**E above lowest polymorph**: 20 meV/atom



Record 4
The following is a DFT calculation (PBE) of an optimized crystal structure of Y3TmSc2.

Unit cell a=22.6752 b=3.3798 c=9.8583 alpha=90.00 beta=107.76 gamma=90.00
Space group C2/m (No. 12)
One atom of each set of equivalent atoms:
Y  0.0595  0.0000  0.4314
Y  0.0701  0.5000  0.7776
Y  0.1973  0.0000  0.7082
Tm  0.1865  0.0000  0.0443
Sc  0.0733  0.5000  0.1373
Sc  0.1916  0.0000  0.3715

Properties
**Total magnetic moment**: 0.00 μB/f.u.
**E above lowest polymorph**: 0 meV/atom



Record 5
The following is a DFT calculation (PBE) of an optimized crystal structure of Y2TmSc.

Unit cell a=12.6046 b=3.5525 c=6.1215 alpha=90.00 beta=118.93 gamma=90.00
Space group Cm (No. 8)
One atom of each set of equivalent atoms:
Y  0.0000  0.0000  0.0000
Y  0.2424  0.0000  0.5850
Tm  0.4876  0.0000  0.4894
Sc  0.2454  0.5000  0.0813

Properties
**Total magnetic moment**: 0.00 μB/f.u.
**E above lowest polymorph**: 0 meV/atom



Record 6
The following is a DFT calculation (PBE) of an optimized crystal structure of Y3Tm8Sc3.

Unit cell a=5.3465 b=9.4331 c=17.1184 alpha=90.00 beta=90.00 gamma=90.00
Space group Immm (No. 71)
One atom of each set of equivalent atoms:
Y  0.0000  0.0000  0.0000
Y  0.0000  0.2401  0.5000
Tm  0.0000  0.1586  0.2979
Tm  0.0000  0.2459  0.1239
Sc  0.0000  0.5000  0.0000
Sc  0.0000  0.5000  0.3324

Properties
**Total magnetic moment**: 0.00 μB/f.u.
**Final energy**: -4.9071 eV per atom



Record 7
The following is a DFT calculation (PBE) of an optimized crystal structure of Y5Tm3Sc2.

Unit cell a=9.2112 b=9.2127 c=9.2307 alpha=106.70 beta=106.52 gamma=115.28
Space group P-1 (No. 2)
One atom of each set of equivalent atoms:
Y  0.0744  0.2274  0.0506
Y  0.1297  0.3783  0.7510
Y  0.1778  0.5248  0.4516
Y  0.3241  0.9781  0.5520
Y  0.3780  0.1292  0.2498
Tm  0.0236  0.0764  0.3487
Tm  0.2283  0.6763  0.1497
Tm  0.4277  0.2753  0.9525
Sc  0.2789  0.8290  0.8529
Sc  0.4759  0.4252  0.6500

Properties
**Total magnetic moment**: 0.00 μB/f.u.
**Final energy**: -5.7918 eV per atom



Record 8
The following is a DFT calculation (PBE) of an optimized crystal structure of YTm2Sc5.

Unit cell a=6.7508 b=6.7508 c=9.3892 alpha=90.00 beta=90.00 gamma=90.00
Space group I4/mmm (No. 139)
One atom of each set of equivalent atoms:
Y  0.0000  0.0000  0.0000
Tm  0.0000  0.5000  0.0000
Sc  0.0000  0.0000  0.5000
Sc  0.2500  0.2500  0.2500

Properties
**Total magnetic moment**: 0.00 μB/f.u.
**E above lowest polymorph**: 43 meV/atom